(1)
The following is a DFT calculation (meta-GGA SCAN) of a crystal of MnPtSe2 relaxed with PBEsol.

The space group is P4/mmm (No. 123) and the conventional cell measures 3.1268, 3.1268 and 6.3275 Å, with angles of 90.00, 90.00 and 90.00 degrees. The asymmetric unit holds Mn at (0.0000, 0.0000, 0.0000), Pt at (0.0000, 0.0000, 0.5000) and Se at (0.5000, 0.5000, 0.2309).

For the uncorrected energy, the calculation gives -128.3 eV/f.u. The value obtained for the magnetic moment is 2.839 Bohr magnetons per cell.


(2)
The following is a DFT calculation (meta-GGA SCAN) of a crystal of MnPt3Se relaxed with PBEsol.

The space group is Pm-3m (No. 221) and the conventional cell measures 4.5012, 4.5012 and 4.5012 Å, with angles of 90.00, 90.00 and 90.00 degrees. The asymmetric unit holds Mn at (0.0000, 0.0000, 0.0000), Pt at (0.0000, 0.0000, 0.5000) and Se at (0.5000, 0.5000, 0.5000).

For the uncorrected energy, the calculation gives -242.9 eV/f.u. The value obtained for the magnetic moment is 0.002 Bohr magnetons per cell.


(3)
The following is a DFT calculation (meta-GGA SCAN) of a crystal of MnPtSe2 relaxed with PBEsol.

The space group is Fm-3m (No. 225) and the conventional cell measures 6.3539, 6.3539 and 6.3539 Å, with angles of 90.00, 90.00 and 90.00 degrees. The asymmetric unit holds Mn at (0.0000, 0.0000, 0.0000), Pt at (0.0000, 0.0000, 0.5000) and Se at (0.2500, 0.2500, 0.2500).

For the uncorrected energy, the calculation gives -128.6 eV/f.u. The value obtained for the magnetic moment is 12.581 Bohr magnetons per cell.


(4)
The following is a DFT calculation (meta-GGA SCAN) of a crystal of MnPtSe2 relaxed with PBEsol.

The space group is F-43m (No. 216) and the conventional cell measures 6.4410, 6.4410 and 6.4410 Å, with angles of 90.00, 90.00 and 90.00 degrees. The asymmetric unit holds Mn at (0.0000, 0.0000, 0.0000), Pt at (0.2500, 0.2500, 0.2500), Se at (0.0000, 0.0000, 0.5000) and Se at (0.2500, 0.2500, 0.7500).

For the uncorrected energy, the calculation gives -127.8 eV/f.u. The value obtained for the magnetic moment is 15.057 Bohr magnetons per cell.